First-principles (PBE) data for SrPm3Si2 after structural relaxation, as listed in Alexandria via LeMat-Bulk.

E_form (uncorrected) = -352 meV/atom
Total magnetic moment = 0.00 μB per formula unit
Calculated density = 5.55 Mg/m³

```
data_SrPm3Si2
_chemical_formula_sum 'Sr2 Pm6 Si4'
_space_group_name_H-M_alt 'P 1'
_space_group_IT_number 1
_cell_length_a 4.5308
_cell_length_b 10.3094
_cell_length_c 9.3627
_cell_angle_alpha 124.73
_cell_angle_beta 90.00
_cell_angle_gamma 102.69
loop_
_space_group_symop_operation_xyz
'x,y,z'
loop_
_atom_site_label
_atom_site_type_symbol
_atom_site_fract_x
_atom_site_fract_y
_atom_site_fract_z
Si1 Si 0.7738 0.5476 0.2455
Pm1 Pm 0.3074 0.6147 0.4930
Si2 Si 0.2262 0.4524 0.7545
Sr1 Sr 0.8855 0.7709 0.9018
Pm2 Pm 0.6521 0.3042 0.8312
Pm3 Pm 0.3479 0.6958 0.1688
Pm4 Pm 0.9539 0.9079 0.5992
Pm5 Pm 0.6926 0.3853 0.5070
Sr2 Sr 0.1145 0.2291 0.0982
Si3 Si 0.4890 0.9779 0.8463
Pm6 Pm 0.0461 0.0921 0.4008
Si4 Si 0.5110 0.0221 0.1537
```


First-principles (PBE) data for Sr3Pm4Si4 after structural relaxation, as listed in Alexandria via LeMat-Bulk.

E_form (uncorrected) = -367 meV/atom
Total magnetic moment = 0.00 μB per formula unit
Calculated density = 4.88 Mg/m³

```
data_Sr3Pm4Si4
_chemical_formula_sum 'Sr3 Pm4 Si4'
_space_group_name_H-M_alt 'P 1'
_space_group_IT_number 1
_cell_length_a 4.9264
_cell_length_b 7.8942
_cell_length_c 9.5601
_cell_angle_alpha 114.39
_cell_angle_beta 104.93
_cell_angle_gamma 90.00
loop_
_space_group_symop_operation_xyz
'x,y,z'
loop_
_atom_site_label
_atom_site_type_symbol
_atom_site_fract_x
_atom_site_fract_y
_atom_site_fract_z
Pm1 Pm 0.6696 0.4563 0.3391
Pm2 Pm 0.3304 0.5437 0.6609
Pm3 Pm 0.3304 0.1172 0.6609
Si1 Si 0.5000 0.1679 0.0000
Sr1 Sr 0.0000 0.5000 0.0000
Si2 Si 0.2025 0.7025 0.4050
Si3 Si 0.5000 0.8321 0.0000
Pm4 Pm 0.6696 0.8828 0.3391
Sr2 Sr 0.8951 0.8951 0.7901
Sr3 Sr 0.1049 0.1049 0.2099
Si4 Si 0.7975 0.2975 0.5950
```


First-principles (PBE) data for SrPm12Si6 after structural relaxation, as listed in Alexandria via LeMat-Bulk.

E_form (uncorrected) = -376 meV/atom
Total magnetic moment = 0.00 μB per formula unit
Calculated density = 5.54 Mg/m³

```
data_SrPm12Si6
_chemical_formula_sum 'Sr1 Pm12 Si6'
_space_group_name_H-M_alt 'P 1'
_space_group_IT_number 1
_cell_length_a 8.7151
_cell_length_b 8.7151
_cell_length_c 8.7151
_cell_angle_alpha 103.33
_cell_angle_beta 103.33
_cell_angle_gamma 103.33
loop_
_space_group_symop_operation_xyz
'x,y,z'
loop_
_atom_site_label
_atom_site_type_symbol
_atom_site_fract_x
_atom_site_fract_y
_atom_site_fract_z
Si1 Si 0.7564 0.3164 0.7564
Si2 Si 0.6836 0.2436 0.2436
Si3 Si 0.2436 0.6836 0.2436
Pm1 Pm 0.1280 0.5000 0.8720
Pm2 Pm 0.8720 0.5000 0.1280
Pm3 Pm 0.1280 0.8720 0.5000
Sr1 Sr 0.0000 0.0000 0.0000
Pm4 Pm 0.1814 0.4540 0.4540
Pm5 Pm 0.4540 0.4540 0.1814
Pm6 Pm 0.8720 0.1280 0.5000
Pm7 Pm 0.5460 0.5460 0.8186
Pm8 Pm 0.5000 0.1280 0.8720
Pm9 Pm 0.8186 0.5460 0.5460
Pm10 Pm 0.5460 0.8186 0.5460
Pm11 Pm 0.5000 0.8720 0.1280
Si4 Si 0.3164 0.7564 0.7564
Pm12 Pm 0.4540 0.1814 0.4540
Si5 Si 0.2436 0.2436 0.6836
Si6 Si 0.7564 0.7564 0.3164
```


First-principles (PBE) data for SrPm2Si6 after structural relaxation, as listed in Alexandria via LeMat-Bulk.

E_form (uncorrected) = -471 meV/atom
Total magnetic moment = 0.00 μB per formula unit
Excess energy over the best structure of this formula in the dataset = 0 meV/atom
Calculated density = 4.80 Mg/m³

```
data_SrPm2Si6
_chemical_formula_sum 'Sr1 Pm2 Si6'
_space_group_name_H-M_alt 'P 1'
_space_group_IT_number 1
_cell_length_a 4.2273
_cell_length_b 7.1835
_cell_length_c 7.1835
_cell_angle_alpha 120.00
_cell_angle_beta 90.00
_cell_angle_gamma 90.00
loop_
_space_group_symop_operation_xyz
'x,y,z'
loop_
_atom_site_label
_atom_site_type_symbol
_atom_site_fract_x
_atom_site_fract_y
_atom_site_fract_z
Pm1 Pm 0.0000 0.6667 0.3333
Pm2 Pm 0.0000 0.3333 0.6667
Si1 Si 0.5000 0.0000 0.6629
Si2 Si 0.5000 0.3371 0.0000
Si3 Si 0.5000 0.6629 0.6629
Si4 Si 0.5000 0.3371 0.3371
Si5 Si 0.5000 0.6629 0.0000
Sr1 Sr 0.0000 0.0000 0.0000
Si6 Si 0.5000 0.0000 0.3371
```


First-principles (PBE) data for SrPmTlSi after structural relaxation, as listed in Alexandria via LeMat-Bulk.

E_form (uncorrected) = -258 meV/atom
Total magnetic moment = 0.00 μB per formula unit
Calculated density = 6.81 Mg/m³

```
data_SrPmTlSi
_chemical_formula_sum 'Sr1 Pm1 Tl1 Si1'
_space_group_name_H-M_alt 'P 1'
_space_group_IT_number 1
_cell_length_a 5.4327
_cell_length_b 5.4327
_cell_length_c 5.4327
_cell_angle_alpha 60.00
_cell_angle_beta 60.00
_cell_angle_gamma 60.00
loop_
_space_group_symop_operation_xyz
'x,y,z'
loop_
_atom_site_label
_atom_site_type_symbol
_atom_site_fract_x
_atom_site_fract_y
_atom_site_fract_z
Tl1 Tl 0.0000 0.0000 0.0000
Sr1 Sr 0.7500 0.7500 0.7500
Si1 Si 0.5000 0.5000 0.5000
Pm1 Pm 0.2500 0.2500 0.2500
```


First-principles (PBE) data for PmTaSi2 after structural relaxation, as listed in Alexandria via LeMat-Bulk.

E_form (uncorrected) = -379 meV/atom
Total magnetic moment = 0.00 μB per formula unit
Calculated density = 7.56 Mg/m³

```
data_PmTaSi2
_chemical_formula_sum 'Pm1 Ta1 Si2'
_space_group_name_H-M_alt 'P 1'
_space_group_IT_number 1
_cell_length_a 3.8997
_cell_length_b 3.8997
_cell_length_c 6.7549
_cell_angle_alpha 73.22
_cell_angle_beta 73.22
_cell_angle_gamma 60.00
loop_
_space_group_symop_operation_xyz
'x,y,z'
loop_
_atom_site_label
_atom_site_type_symbol
_atom_site_fract_x
_atom_site_fract_y
_atom_site_fract_z
Si1 Si 0.2637 0.2637 0.2089
Si2 Si 0.7363 0.7363 0.7911
Pm1 Pm 0.5000 0.5000 0.5000
Ta1 Ta 0.0000 0.0000 0.0000
```


First-principles (PBE) data for PmTaSi2Tc after structural relaxation, as listed in Alexandria via LeMat-Bulk.

E_form (uncorrected) = -630 meV/atom
Total magnetic moment = 0.00 μB per formula unit
Calculated density = 8.68 Mg/m³

```
data_PmTaSi2Tc
_chemical_formula_sum 'Pm1 Ta1 Si2 Tc1'
_space_group_name_H-M_alt 'P 1'
_space_group_IT_number 1
_cell_length_a 4.0441
_cell_length_b 4.0441
_cell_length_c 6.3043
_cell_angle_alpha 108.71
_cell_angle_beta 108.71
_cell_angle_gamma 90.00
loop_
_space_group_symop_operation_xyz
'x,y,z'
loop_
_atom_site_label
_atom_site_type_symbol
_atom_site_fract_x
_atom_site_fract_y
_atom_site_fract_z
Ta1 Ta 0.7500 0.2500 0.5000
Si1 Si 0.6093 0.6093 0.2186
Pm1 Pm 0.0000 0.0000 0.0000
Tc1 Tc 0.2500 0.7500 0.5000
Si2 Si 0.3907 0.3907 0.7814
```


First-principles (PBE) data for Tb3PmSi4 after structural relaxation, as listed in Alexandria via LeMat-Bulk.

E_form (uncorrected) = -530 meV/atom
Total magnetic moment = 0.00 μB per formula unit
Calculated density = 6.14 Mg/m³

```
data_Tb3PmSi4
_chemical_formula_sum 'Tb3 Pm1 Si4'
_space_group_name_H-M_alt 'P 1'
_space_group_IT_number 1
_cell_length_a 3.9561
_cell_length_b 6.3547
_cell_length_c 8.7376
_cell_angle_alpha 111.32
_cell_angle_beta 103.08
_cell_angle_gamma 90.00
loop_
_space_group_symop_operation_xyz
'x,y,z'
loop_
_atom_site_label
_atom_site_type_symbol
_atom_site_fract_x
_atom_site_fract_y
_atom_site_fract_z
Tb1 Tb 0.1949 0.1949 0.3899
Tb2 Tb 0.0000 0.5000 0.0000
Si1 Si 0.6326 0.4494 0.2653
Si2 Si 0.3674 0.1844 0.7348
Tb3 Tb 0.8051 0.8051 0.6101
Pm1 Pm 0.5000 0.0000 0.0000
Si3 Si 0.6326 0.8156 0.2652
Si4 Si 0.3674 0.5506 0.7347
```